# 1
A relaxed structure of Au2SO. Source: OQMD, functional PBE.

Summary:
Its calculated volume is 296.2 Å³ per cell. The energy relative to the lowest polymorph listed for this composition is 0.1616 eV/atom. The calculation puts the calculated total energy at -15.1 eV per formula unit.

```
data_Au2SO
_cell_length_a 7.088
_cell_length_b 6.363
_cell_length_c 6.568
_cell_angle_alpha 90.00
_cell_angle_beta 90.00
_cell_angle_gamma 90.00
_symmetry_space_group_name_H-M 'P c a 21'
_symmetry_Int_Tables_number 29
loop_
_symmetry_equiv_pos_as_xyz
'x,y,z'
'-x,-y,z+1/2'
'-x+1/2,y,z+1/2'
'x+1/2,-y,z'
loop_
_atom_site_label
_atom_site_fract_x
_atom_site_fract_y
_atom_site_fract_z
Au1 0.110 0.004 0.000
Au2 0.244 0.668 0.286
S1 0.016 0.653 0.543
O1 0.137 0.149 0.499
```

# 2
A relaxed structure of SmAuSO. Source: OQMD, functional PBE.

Summary:
Its calculated volume is 142.6 Å³ per cell. The energy relative to the lowest polymorph listed for this composition is 0.1397 eV/atom. The calculation puts the calculated total energy at -24.2 eV per formula unit.

```
data_SmAuSO
_cell_length_a 3.966
_cell_length_b 3.966
_cell_length_c 9.065
_cell_angle_alpha 90.00
_cell_angle_beta 90.00
_cell_angle_gamma 90.00
_symmetry_space_group_name_H-M 'P 4/n m m'
_symmetry_Int_Tables_number 129
loop_
_symmetry_equiv_pos_as_xyz
'x,y,z'
'-x,-y,-z'
'-y+1/2,x,z'
'y+1/2,-x,-z'
'-x+1/2,-y+1/2,z'
'x+1/2,y+1/2,-z'
'y,-x+1/2,z'
'-y,x+1/2,-z'
'x+1/2,-y,-z'
'-x+1/2,y,z'
'-y,-x,-z'
'y,x,z'
'-x,y+1/2,-z'
'x,-y+1/2,z'
'y+1/2,x+1/2,-z'
'-y+1/2,-x+1/2,z'
loop_
_atom_site_label
_atom_site_fract_x
_atom_site_fract_y
_atom_site_fract_z
Sm1 0.250 0.250 0.130
Au1 0.250 0.750 0.500
S1 0.250 0.250 0.710
O1 0.250 0.750 0.000
```

# 3
A relaxed structure of SmAuSO. Source: OQMD, functional PBE.

Summary:
Its calculated volume is 294.8 Å³ per cell. The energy relative to the lowest polymorph listed for this composition is 0.0062 eV/atom. The calculation puts the calculated total energy at -24.7 eV per formula unit.

```
data_SmAuSO
_cell_length_a 9.032
_cell_length_b 5.704
_cell_length_c 5.723
_cell_angle_alpha 90.00
_cell_angle_beta 90.11
_cell_angle_gamma 90.00
_symmetry_space_group_name_H-M 'P 1 21/c 1'
_symmetry_Int_Tables_number 14
loop_
_symmetry_equiv_pos_as_xyz
'x,y,z'
'-x,-y,-z'
'-x,y+1/2,-z+1/2'
'x,-y+1/2,z+1/2'
loop_
_atom_site_label
_atom_site_fract_x
_atom_site_fract_y
_atom_site_fract_z
Sm1 0.127 0.001 0.250
Au1 0.500 0.245 0.247
S1 0.286 0.005 0.750
O1 0.002 0.750 0.000
```

# 4
A relaxed structure of SmAuSO. Source: OQMD, functional PBE.

Summary:
Its calculated volume is 362.7 Å³ per cell. The energy relative to the lowest polymorph listed for this composition is 0.0000 eV/atom. The calculation puts the calculated total energy at -24.7 eV per formula unit.

```
data_SmAuSO
_cell_length_a 5.765
_cell_length_b 5.759
_cell_length_c 10.931
_cell_angle_alpha 90.00
_cell_angle_beta 91.94
_cell_angle_gamma 90.00
_symmetry_space_group_name_H-M 'P 1 21 1'
_symmetry_Int_Tables_number 4
loop_
_symmetry_equiv_pos_as_xyz
'x,y,z'
'-x,y+1/2,-z'
loop_
_atom_site_label
_atom_site_fract_x
_atom_site_fract_y
_atom_site_fract_z
Sm1 0.006 0.000 0.102
Sm2 0.494 0.000 0.898
Au1 0.002 0.021 0.717
Au2 0.309 0.274 0.503
S1 0.287 0.238 0.292
S2 0.293 0.306 0.713
O1 0.249 0.249 0.001
O2 0.252 0.749 0.000
```

# 5
A relaxed structure of SmAuSO. Source: OQMD, functional PBE.

Summary:
Its calculated volume is 296.5 Å³ per cell. The energy relative to the lowest polymorph listed for this composition is 0.0053 eV/atom. The calculation puts the calculated total energy at -24.7 eV per formula unit.

```
data_SmAuSO
_cell_length_a 5.701
_cell_length_b 9.105
_cell_length_c 5.713
_cell_angle_alpha 90.00
_cell_angle_beta 90.00
_cell_angle_gamma 90.00
_symmetry_space_group_name_H-M 'P c c a'
_symmetry_Int_Tables_number 54
loop_
_symmetry_equiv_pos_as_xyz
'x,y,z'
'-x,-y,-z'
'-x+1/2,-y,z'
'x+1/2,y,-z'
'x+1/2,-y,-z+1/2'
'-x+1/2,y,z+1/2'
'-x,y,-z+1/2'
'x,-y,z+1/2'
loop_
_atom_site_label
_atom_site_fract_x
_atom_site_fract_y
_atom_site_fract_z
Sm1 0.000 0.126 0.250
Au1 0.250 0.500 0.246
S1 0.000 0.287 0.750
O1 0.250 0.000 0.000
```

# 6
A relaxed structure of SmAuSO. Source: OQMD, functional PBE.

Summary:
Its calculated volume is 287.2 Å³ per cell. The energy relative to the lowest polymorph listed for this composition is 0.0940 eV/atom. The calculation puts the calculated total energy at -24.4 eV per formula unit.

```
data_SmAuSO
_cell_length_a 5.605
_cell_length_b 5.605
_cell_length_c 9.143
_cell_angle_alpha 90.00
_cell_angle_beta 90.00
_cell_angle_gamma 90.00
_symmetry_space_group_name_H-M 'P 4 b m'
_symmetry_Int_Tables_number 100
loop_
_symmetry_equiv_pos_as_xyz
'x,y,z'
'-y,x,z'
'-x,-y,z'
'y,-x,z'
'-x+1/2,y+1/2,z'
'y+1/2,x+1/2,z'
'x+1/2,-y+1/2,z'
'-y+1/2,-x+1/2,z'
loop_
_atom_site_label
_atom_site_fract_x
_atom_site_fract_y
_atom_site_fract_z
Sm1 0.000 0.000 0.000
Sm2 0.000 0.500 0.258
Au1 0.180 0.320 0.621
S1 0.000 0.000 0.425
S2 0.000 0.500 0.846
O1 0.249 0.251 0.131
```